(P)
VASP calculation (GGA-PBE) on an optimized crystal structure of LiTc3Bi.

The space group is Pm-3m (No. 221) and the conventional cell measures 5.1340, 5.1340 and 5.1340 Å, with angles of 90.00, 90.00 and 90.00 degrees. The asymmetric unit holds Li at (0.0000, 0.0000, 0.0000), Tc at (0.0000, 0.5000, 0.5000) and Bi at (0.5000, 0.5000, 0.5000).

(Q)
VASP calculation (GGA-PBE) on an optimized crystal structure of LiTc3Bi.

The space group is Pm-3m (No. 221) and the conventional cell measures 4.3318, 4.3318 and 4.3318 Å, with angles of 90.00, 90.00 and 90.00 degrees. The asymmetric unit holds Li at (0.0000, 0.0000, 0.0000), Tc at (0.0000, 0.0000, 0.5000) and Bi at (0.5000, 0.5000, 0.5000).

Which one is the most stable? From the structures above, (Q).